# KGeS3

KGeS3 after structural relaxation (PBE, Alexandria via LeMat-Bulk).

a b c (Å): 5.4044 5.4044 5.4044
angles (deg): 90.00 90.00 90.00
Element x y z (fractional)
1 S 0.0000 0.5000 0.0000
2 K 0.0000 0.0000 0.0000
3 S 0.5000 0.0000 0.0000
4 Ge 0.5000 0.5000 0.5000
5 S 0.0000 0.0000 0.5000

Properties
E_form (uncorrected), meV per atom: 1205

# KGeS2

KGeS2 after structural relaxation (PBE, Alexandria via LeMat-Bulk).

a b c (Å): 8.9109 8.9109 8.9109
angles (deg): 24.14 24.14 24.14
Element x y z (fractional)
1 S 0.1133 0.1133 0.1133
2 K 0.0000 0.0000 0.0000
3 Ge 0.5000 0.5000 0.5000
4 S 0.8867 0.8867 0.8867

Properties
E_form (uncorrected), meV per atom: -307

# K2Ge2S5

K2Ge2S5 after structural relaxation (PBE, Alexandria via LeMat-Bulk).

a b c (Å): 11.3540 11.3540 8.5894
angles (deg): 89.64 89.64 89.99
Element x y z (fractional)
1 S 0.5720 0.7503 0.4588
2 Ge 0.9122 0.2507 0.3992
3 K 0.9540 0.7518 0.0764
4 Ge 0.2507 0.5834 0.8986
5 S 0.7504 0.9337 0.9583
6 Ge 0.5834 0.2507 0.3986
7 K 0.2482 0.0460 0.4236
8 Ge 0.4166 0.7493 0.6014
9 S 0.7469 0.2498 0.5521
10 S 0.5834 0.4166 0.2500
11 S 0.9337 0.7504 0.4583
12 S 0.4280 0.2497 0.5412
13 S 0.2496 0.0663 0.0417
14 S 0.0863 0.9137 0.7500
15 K 0.2482 0.4540 0.4220
16 S 0.9137 0.0863 0.2500
17 S 0.0663 0.2496 0.5417
18 Ge 0.7493 0.0878 0.1008
19 S 0.4166 0.5834 0.7500
20 K 0.5460 0.7518 0.0780
21 S 0.2498 0.7469 0.0521
22 K 0.7518 0.9540 0.5764
23 K 0.4540 0.2482 0.9220
24 S 0.2497 0.4280 0.0412
25 S 0.7502 0.2531 0.9479
26 K 0.7518 0.5460 0.5780
27 Ge 0.0878 0.7493 0.6008
28 K 0.0460 0.2482 0.9236
29 S 0.0863 0.5835 0.7495
30 Ge 0.7493 0.4166 0.1014
31 S 0.5835 0.0863 0.2495
32 S 0.9137 0.4165 0.2505
33 Ge 0.2507 0.9122 0.8992
34 S 0.4165 0.9137 0.7505
35 S 0.2531 0.7502 0.4479
36 S 0.7503 0.5720 0.9588

Properties
E_form (uncorrected), meV per atom: -778

# K3Ge2S4

K3Ge2S4 after structural relaxation (PBE, Alexandria via LeMat-Bulk).

a b c (Å): 6.9919 8.8042 8.8042
angles (deg): 82.20 87.68 87.68
Element x y z (fractional)
1 Ge 0.8930 0.4108 0.1747
2 K 0.4315 0.2515 0.9893
3 S 0.9236 0.7184 0.6133
4 Ge 0.1070 0.5892 0.8253
5 S 0.0764 0.2816 0.3867
6 K 0.7500 0.3787 0.6213
7 S 0.5764 0.3867 0.2816
8 S 0.5689 0.0262 0.7270
9 K 0.0685 0.0107 0.7485
10 S 0.9311 0.2730 0.9738
11 Ge 0.3930 0.1747 0.4108
12 K 0.9315 0.9893 0.2515
13 K 0.5685 0.7485 0.0107
14 K 0.2500 0.6213 0.3787
15 S 0.4236 0.6133 0.7184
16 S 0.4311 0.9738 0.2730
17 Ge 0.6070 0.8253 0.5892
18 S 0.0689 0.7270 0.0262

Properties
E_form (uncorrected), meV per atom: -765

# KGeS

KGeS after structural relaxation (PBE, Alexandria via LeMat-Bulk).

a b c (Å): 5.7019 5.2369 8.1563
angles (deg): 108.73 110.46 90.00
Element x y z (fractional)
1 K 0.6490 0.1490 0.2981
2 Ge 0.7298 0.5000 0.0000
3 S 0.1321 0.6321 0.2641
4 S 0.8679 0.3679 0.7359
5 K 0.3510 0.8510 0.7019
6 Ge 0.2702 0.5000 0.0000

Properties
E_form (uncorrected), meV per atom: -389

# K3GeS

K3GeS after structural relaxation (PBE, Alexandria via LeMat-Bulk).

a b c (Å): 6.0730 6.0730 6.0730
angles (deg): 90.00 90.00 90.00
Element x y z (fractional)
1 K 0.0000 0.5000 0.0000
2 K 0.0000 0.0000 0.5000
3 K 0.5000 0.0000 0.0000
4 Ge 0.5000 0.5000 0.5000
5 S 0.0000 0.0000 0.0000

Properties
E_form (uncorrected), meV per atom: -270